# 1
Np3Se2S3: optimized geometry, PBE.

Unit cell a=11.016 b=11.016 c=11.016 alpha=161.10 beta=157.31 gamma=29.69
Sites, in units of the cell vectors:
Np 0.000 0.000 0.000
Np 0.355 0.855 0.500
Np 0.645 0.145 0.500
Se 0.248 0.248 0.000
Se 0.752 0.752 0.000
S 0.110 0.610 0.500
S 0.500 0.500 0.000
S 0.890 0.390 0.500

Output
For the volume, the calculation gives 166.9 Å³ per cell. For the calculated total energy, the calculation gives -0.30521 hartree per atom. The total magnetization comes out at 12.59 Bohr magnetons per cell.



# 2
Np4SeS6: optimized geometry, PBE.

Unit cell a=8.366 b=8.366 c=3.805 alpha=90.00 beta=90.00 gamma=120.00
Sites, in units of the cell vectors:
Np 0.000 0.000 0.000
Np 0.012 0.506 0.500
Np 0.494 0.506 0.500
Np 0.494 0.988 0.500
Se 0.667 0.333 0.000
S 0.207 0.415 0.000
S 0.207 0.793 0.000
S 0.270 0.135 0.500
S 0.585 0.793 0.000
S 0.865 0.135 0.500
S 0.865 0.730 0.500

Output
For the volume, the calculation gives 230.7 Å³ per cell. The relative energy among the computed polymorphs comes out at 0 meV/atom. For the calculated total energy, the calculation gives -0.31387 hartree per atom. The total magnetization comes out at 7.85 Bohr magnetons per cell.